Record 1
Computed, not measured: a PBEsol-optimized structure of FeRh2W at the SCAN level of DFT.

Values from the calculation:
formation enthalpy at 0 K	-0.80	eV/f.u.
energy relative to the lowest polymorph listed for this composition	0.019	eV/atom
total magnetic moment	2.842	μB per formula unit
crystal system	orthorhombic
symmetry	Pmmm

Cell lengths 2.6993, 3.7201, 5.3570 Å; angles 90.00, 90.00, 90.00 degrees
With the nearest neighbours (Å) after each atom.
Fractional positions:
Fe 0.0000 0.0000 0.0000  8 Rh 2.64, 2 W 2.68, 2 Fe 2.70
Rh 0.5000 0.5000 0.2422  4 Rh 2.59-2.76, 4 Fe 2.64, 4 W 2.68
Rh 0.5000 0.5000 0.7578  4 Rh 2.59-2.76, 4 Fe 2.64, 4 W 2.68
W 0.0000 0.0000 0.5000  2 Fe 2.68, 8 Rh 2.68, 2 W 2.70

---

Record 2
Computed, not measured: a PBEsol-optimized structure of ZnCdCl at the SCAN level of DFT.

Values from the calculation:
ΔE_f (raw)	-0.246	eV per atom
total magnetic moment	0.000	μB per formula unit
crystal system	orthorhombic
symmetry	Fmm2

Cell lengths 6.5743, 6.1973, 3.3953 Å; angles 80.82, 68.53, 30.65 degrees
With the nearest neighbours (Å) after each atom.
Fractional positions:
Zn 0.0000 0.0000 0.0000  2 Cl 2.53, 2 Cd 2.64
Cd 0.6610 0.6610 0.3390  2 Zn 2.64, 2 Cl 2.91
Cl 0.3523 0.3523 0.6477  2 Zn 2.53

---

Record 3
Computed, not measured: a PBEsol-optimized structure of RbTcSbTe2 at the SCAN level of DFT.

Values from the calculation:
ΔE_f (raw)	-0.007	eV per atom
total magnetic moment	2.659	μB per formula unit
crystal system	tetragonal
symmetry	P4/mmm

Cell lengths 5.4655, 5.4655, 5.0848 Å; angles 90.00, 90.00, 90.00 degrees
With the nearest neighbours (Å) after each atom.
Fractional positions:
Rb 0.0000 0.0000 0.0000  8 Te 3.73, 4 Sb 3.86
Tc 0.5000 0.5000 0.5000  2 Sb 2.54, 4 Te 2.73
Sb 0.5000 0.5000 0.0000  2 Tc 2.54
Te 0.0000 0.5000 0.5000  2 Tc 2.73
Te 0.5000 0.0000 0.5000  2 Tc 2.73

---

Record 4
Computed, not measured: a PBEsol-optimized structure of CaZn2Os at the SCAN level of DFT.

Values from the calculation:
formation enthalpy at 0 K	0.48	eV/f.u.
total magnetic moment	0.000	μB per formula unit
crystal system	tetragonal
symmetry	I4/mmm

Cell lengths 4.6978, 4.6978, 4.6978 Å; angles 126.65, 126.65, 78.82 degrees
With the nearest neighbours (Å) after each atom.
Fractional positions:
Ca 0.0000 0.0000 0.0000  8 Zn 2.78, 4 Os 2.98
Zn 0.2500 0.7500 0.5000  4 Ca 2.78, 4 Os 2.78, 4 Zn 2.98
Zn 0.7500 0.2500 0.5000  4 Ca 2.78, 4 Os 2.78, 4 Zn 2.98
Os 0.5000 0.5000 0.0000  8 Zn 2.78, 4 Ca 2.98

---

Record 5
Computed, not measured: a PBEsol-optimized structure of Li10GeP2Se12 at the SCAN level of DFT.

Values from the calculation:
ΔE_f (raw)	-0.927	eV per atom
energy relative to the lowest polymorph listed for this composition	0.012	eV/atom
total magnetic moment	0.000	μB per formula unit
crystal system	tetragonal
symmetry	P4_2mc

Cell lengths 9.1252, 9.1252, 13.0308 Å; angles 90.00, 90.00, 90.00 degrees
With the nearest neighbours (Å) after each atom.
Fractional positions:
Li 0.0000 0.0000 0.0000  6 Se 2.71-2.89
Li 0.0000 0.0000 0.5000  6 Se 2.71-2.89
Li 0.2268 0.2675 0.2445  3 Se 2.48-2.67
Li 0.2268 0.7325 0.2445  3 Se 2.48-2.67
Li 0.2377 0.2409 0.9829  3 Se 2.51-2.73
Li 0.2377 0.7591 0.9829  3 Se 2.51-2.73
Li 0.2409 0.2377 0.4829  3 Se 2.51-2.73
Li 0.2409 0.7623 0.4829  3 Se 2.51-2.73
Li 0.2675 0.2268 0.7445  3 Se 2.48-2.67
Li 0.2675 0.7732 0.7445  3 Se 2.48-2.67
Li 0.5000 0.5000 0.4075  6 Se 2.72-2.78
Li 0.5000 0.5000 0.9075  6 Se 2.72-2.78
Li 0.7325 0.2268 0.7445  3 Se 2.48-2.67
Li 0.7325 0.7732 0.7445  3 Se 2.48-2.67
Li 0.7591 0.2377 0.4829  3 Se 2.51-2.73
Li 0.7591 0.7623 0.4829  3 Se 2.51-2.73
Li 0.7623 0.2409 0.9829  3 Se 2.51-2.73
Li 0.7623 0.7591 0.9829  3 Se 2.51-2.73
Li 0.7732 0.2675 0.2445  3 Se 2.48-2.67
Li 0.7732 0.7325 0.2445  3 Se 2.48-2.67
Ge 0.0000 0.0000 0.2531  4 Se 2.37-2.38
Ge 0.0000 0.0000 0.7531  4 Se 2.37-2.38
P 0.0000 0.5000 0.4656  4 Se 2.20-2.23
P 0.5000 0.0000 0.9656  4 Se 2.20-2.23
P 0.5000 0.5000 0.1513  4 Se 2.21-2.23
P 0.5000 0.5000 0.6513  4 Se 2.21-2.23
Se 0.0000 0.2112 0.1477  1 Ge 2.37, 2 Li 2.48
Se 0.0000 0.2153 0.8568  1 Ge 2.38
Se 0.0000 0.3031 0.5631  1 P 2.20
Se 0.0000 0.6969 0.5631  1 P 2.20
Se 0.0000 0.7847 0.8568  1 Ge 2.38
Se 0.0000 0.7888 0.1477  1 Ge 2.37, 2 Li 2.48
Se 0.2010 0.5000 0.3678  1 P 2.23
Se 0.2112 0.0000 0.6477  1 Ge 2.37, 2 Li 2.48
Se 0.2153 0.0000 0.3568  1 Ge 2.38
Se 0.2945 0.5000 0.0588  1 P 2.23
Se 0.3001 0.5000 0.7465  1 P 2.21
Se 0.3031 0.0000 0.0631  1 P 2.20
Se 0.5000 0.2010 0.8678  1 P 2.23
Se 0.5000 0.2945 0.5588  1 P 2.23
Se 0.5000 0.3001 0.2465  1 P 2.21
Se 0.5000 0.6999 0.2465  1 P 2.21
Se 0.5000 0.7055 0.5588  1 P 2.23
Se 0.5000 0.7990 0.8678  1 P 2.23
Se 0.6969 0.0000 0.0631  1 P 2.20
Se 0.6999 0.5000 0.7465  1 P 2.21
Se 0.7055 0.5000 0.0588  1 P 2.23
Se 0.7847 0.0000 0.3568  1 Ge 2.38
Se 0.7888 0.0000 0.6477  1 Ge 2.37, 2 Li 2.48
Se 0.7990 0.5000 0.3678  1 P 2.23

---

Record 6
Computed, not measured: a PBEsol-optimized structure of SnRhO3 at the SCAN level of DFT.

Values from the calculation:
ΔE_f (raw)	-0.527	eV per atom
total magnetic moment	3.000	μB per formula unit
crystal system	cubic
symmetry	Pm-3m

Cell lengths 3.9906, 3.9906, 3.9906 Å; angles 90.00, 90.00, 90.00 degrees
With the nearest neighbours (Å) after each atom.
Fractional positions:
Sn 0.0000 0.0000 0.0000  6 O 2.00
Rh 0.5000 0.5000 0.5000  12 O 2.82
O 0.0000 0.0000 0.5000  2 Sn 2.00
O 0.0000 0.5000 0.0000  2 Sn 2.00
O 0.5000 0.0000 0.0000  2 Sn 2.00

---

Record 7
Computed, not measured: a PBEsol-optimized structure of CaBePt2 at the SCAN level of DFT.

Values from the calculation:
formation enthalpy at 0 K	-1.11	eV/f.u.
total magnetic moment	0.000	μB per formula unit
crystal system	cubic
symmetry	F-43m

Cell lengths 4.4998, 4.4998, 4.4998 Å; angles 60.00, 60.00, 60.00 degrees
With the nearest neighbours (Å) after each atom.
Fractional positions:
Ca 0.0000 0.0000 0.0000  4 Pt 2.76, 4 Be 2.76
Be 0.2500 0.2500 0.2500  4 Pt 2.76, 4 Ca 2.76
Pt 0.5000 0.5000 0.5000  4 Pt 2.76, 4 Be 2.76
Pt 0.7500 0.7500 0.7500  4 Pt 2.76, 4 Ca 2.76

---

Record 8
Computed, not measured: a PBEsol-optimized structure of Mg2CdAs at the SCAN level of DFT.

Values from the calculation:
formation enthalpy at 0 K	-0.80	eV/f.u.
energy relative to the lowest polymorph listed for this composition	0.062	eV/atom
total magnetic moment	0.000	μB per formula unit
crystal system	orthorhombic
symmetry	Cmmm

Cell lengths 5.1123, 5.1123, 3.1377 Å; angles 90.00, 90.00, 105.11 degrees
With the nearest neighbours (Å) after each atom.
Fractional positions:
Mg 0.0000 0.5000 0.0000  4 Cd 3.00, 4 As 3.00, 4 Mg 3.11-3.14
Mg 0.5000 0.0000 0.0000  4 Cd 3.00, 4 As 3.00, 4 Mg 3.11-3.14
Cd 0.0000 0.0000 0.5000  8 Mg 3.00, 2 As 3.11, 2 Cd 3.14
As 0.5000 0.5000 0.5000  8 Mg 3.00, 2 Cd 3.11, 2 As 3.14

---

Record 9
Computed, not measured: a PBEsol-optimized structure of AlAgP2Se6 at the SCAN level of DFT.

Values from the calculation:
ΔE_f (raw)	-0.376	eV per atom
total magnetic moment	0.000	μB per formula unit
crystal system	monoclinic
symmetry	C2

Cell lengths 6.2956, 6.2956, 7.0929 Å; angles 98.17, 98.17, 119.99 degrees
With the nearest neighbours (Å) after each atom.
Fractional positions:
Al 0.0000 0.0000 0.0000  6 Se 2.56
Ag 0.6660 0.3340 0.0000  6 Se 2.82-2.84
P 0.2804 0.6147 0.8364  3 Se 2.22, 1 P 2.23
P 0.3853 0.7196 0.1636  3 Se 2.22, 1 P 2.23
Se 0.0925 0.3902 0.2497  1 P 2.22
Se 0.2169 0.2304 0.7507  1 P 2.22
Se 0.3759 0.0667 0.2513  1 P 2.22
Se 0.6098 0.9075 0.7503  1 P 2.22
Se 0.7696 0.7831 0.2493  1 P 2.22
Se 0.9333 0.6241 0.7487  1 P 2.22

---

Record 10
Computed, not measured: a PBEsol-optimized structure of Fe2Rh at the SCAN level of DFT.

Values from the calculation:
formation enthalpy at 0 K	1.08	eV/f.u.
total magnetic moment	7.145	μB per formula unit
crystal system	cubic
symmetry	Fm-3m

Cell lengths 4.0057, 4.0057, 4.0057 Å; angles 60.00, 60.00, 60.00 degrees
With the nearest neighbours (Å) after each atom.
Fractional positions:
Fe 0.2500 0.2500 0.2500  4 Rh 2.45
Fe 0.7500 0.7500 0.7500  4 Rh 2.45
Rh 0.0000 0.0000 0.0000  8 Fe 2.45

---

Record 11
Computed, not measured: a PBEsol-optimized structure of SrCoTe2 at the SCAN level of DFT.

Values from the calculation:
ΔE_f (raw)	-0.231	eV per atom
total magnetic moment	0.631	μB per formula unit
crystal system	trigonal
symmetry	R-3m

Cell lengths 9.4082, 9.4082, 9.4082 Å; angles 23.52, 23.52, 23.52 degrees
With the nearest neighbours (Å) after each atom.
Fractional positions:
Sr 0.0000 0.0000 0.0000  2 Te 3.29
Co 0.5000 0.5000 0.5000  6 Te 2.56
Te 0.1199 0.1199 0.1199  3 Co 2.56
Te 0.8801 0.8801 0.8801  3 Co 2.56

---

Record 12
Computed, not measured: a PBEsol-optimized structure of CeYMg4 at the SCAN level of DFT.

Values from the calculation:
formation enthalpy at 0 K	-0.41	eV/f.u.
total magnetic moment	1.697	μB per formula unit
crystal system	cubic
symmetry	F-43m

Cell lengths 5.9926, 5.9926, 5.9926 Å; angles 60.00, 60.00, 60.00 degrees
With the nearest neighbours (Å) after each atom.
Fractional positions:
Ce 0.0000 0.0000 0.0000  12 Mg 3.51, 4 Y 3.67
Y 0.2500 0.2500 0.2500  12 Mg 3.51, 4 Ce 3.67
Mg 0.1254 0.6249 0.6249  6 Mg 2.99-3.00
Mg 0.6249 0.1254 0.6249  6 Mg 2.99-3.00
Mg 0.6249 0.6249 0.1254  6 Mg 2.99-3.00
Mg 0.6249 0.6249 0.6249  6 Mg 2.99-3.00

---

Record 13
Computed, not measured: a PBEsol-optimized structure of K4IrPt at the SCAN level of DFT.

Values from the calculation:
formation enthalpy at 0 K	6.11	eV/f.u.
total magnetic moment	0.972	μB per formula unit
crystal system	cubic
symmetry	F-43m

Cell lengths 5.9348, 5.9348, 5.9348 Å; angles 60.00, 60.00, 60.00 degrees
With the nearest neighbours (Å) after each atom.
Fractional positions:
K 0.1248 0.1248 0.1248  6 K 2.96-2.97
K 0.1248 0.1248 0.6257  6 K 2.96-2.97
K 0.1248 0.6257 0.1248  6 K 2.96-2.97
K 0.6257 0.1248 0.1248  6 K 2.96-2.97
Ir 0.5000 0.5000 0.5000  12 K 3.48, 4 Pt 3.63
Pt 0.7500 0.7500 0.7500  12 K 3.48, 4 Ir 3.63